Density functional theory data (PBE-GGA) for a geometry-optimized ZrScSi2 structure.

Geometry as extended XYZ:
```
8
Lattice="-2.394 1.911 -6.556 -6.530 -2.675 1.605 -5.276 2.243 -1.413" Properties=species:S:1:pos:R:3 pbc="T T T"
Si -3.629 1.418 -4.242
Si -5.703 -0.870 -0.178
Si -11.758 1.017 -5.394
Si -7.312 1.392 -2.915
Sc -4.462 -0.382 -2.476
Sc -8.134 -0.407 -1.142
Zr -6.066 1.886 -5.223
Zr 0.000 0.000 0.000
```

Raw total energy   -6.78 eV per atom
Raw formation energy   -0.346 eV per atom
Symmetry   I-42d, No. 122


Density functional theory data (PBE-GGA) for a geometry-optimized Pm5Pr2Sm2 structure.

Geometry as extended XYZ:
```
18
Lattice="12.088 0.000 0.000 0.000 6.892 0.000 -6.044 -3.446 7.561" Properties=species:S:1:pos:R:3 pbc="T T T"
Pm 2.819 -0.802 5.399
Pm -3.036 -2.018 6.759
Pm -2.884 2.818 3.781
Pm 3.225 2.644 2.162
Pm 3.225 2.644 5.399
Pm 8.928 -0.627 3.781
Pm 9.052 4.874 0.802
Pm 2.819 -0.802 2.162
Pm 9.080 1.428 0.802
Pm -3.008 1.428 6.759
Sm 6.044 3.639 0.000
Sm 5.970 4.108 3.781
Sm 0.000 0.193 0.000
Sm 0.074 0.662 3.781
Pr 0.039 3.864 5.652
Pr 6.005 0.418 1.909
Pr 6.005 0.418 5.652
Pr 0.039 3.864 1.909
```

Raw total energy   -4.56 eV per atom
Calculated formation energy   0.19 eV/atom
Symmetry   Ima2, No. 46


Density functional theory data (PBE-GGA) for a geometry-optimized BaSmGa4 structure.

Geometry as extended XYZ:
```
6
Lattice="5.786 0.000 0.000 2.893 5.011 0.000 2.893 1.670 4.725" Properties=species:S:1:pos:R:3 pbc="T T T"
Ga 7.240 4.180 2.956
Ga 5.786 1.662 2.956
Ga 5.786 3.341 0.582
Ga 4.332 4.180 2.956
Ba 2.893 1.670 1.181
Sm 0.000 0.000 0.000
```

Raw total energy   -3.53 eV per atom
Calculated formation energy   -0.41 eV/atom
Symmetry   F-43m, No. 216


Density functional theory data (PBE-GGA) for a geometry-optimized Pu6ZnRh5 structure.

Geometry as extended XYZ:
```
12
Lattice="4.657 0.000 -1.302 -3.465 6.828 -3.435 -0.170 -0.887 8.343" Properties=species:S:1:pos:R:3 pbc="T T T"
Pu 2.596 1.575 0.305
Pu 0.837 0.191 2.983
Pu 0.184 5.750 0.623
Pu -0.310 2.879 -1.120
Pu -1.575 4.366 3.300
Pu 1.331 3.062 4.725
Rh -1.275 1.699 4.395
Rh -2.361 4.241 0.513
Rh 1.663 0.273 5.921
Rh 0.511 2.971 1.803
Rh -0.642 5.668 -2.315
Zn 0.000 0.000 0.000
```

Raw total energy   -10.69 eV per atom
Calculated formation energy   -0.36 eV/atom
Symmetry   C2/m, No. 12


Density functional theory data (PBE-GGA) for a geometry-optimized Pr6SiO12 structure.

Geometry as extended XYZ:
```
19
Lattice="6.726 -0.008 -0.010 -1.028 6.647 -0.010 -1.028 -1.198 6.538" Properties=species:S:1:pos:R:3 pbc="T T T"
Pr 1.051 3.630 5.599
Pr 3.428 5.225 2.564
Pr 4.645 1.775 4.572
Pr 0.025 3.666 1.947
Pr 1.242 0.216 3.955
Pr 3.620 1.812 0.919
O 1.306 4.801 3.619
O 0.749 -0.739 6.357
O 2.474 1.701 5.371
O 4.548 3.200 2.633
O -1.529 3.732 6.109
O -0.844 6.143 1.754
O 2.196 3.740 1.148
O 3.364 0.640 2.899
O 0.123 2.241 3.885
O 6.200 1.709 0.409
O 3.921 6.180 0.161
O 5.514 -0.702 4.764
Si 0.000 0.000 0.000
```

Raw total energy   -7.86 eV per atom
Raw formation energy   -2.939 eV per atom
Symmetry   R-3, No. 148


Density functional theory data (PBE-GGA) for a geometry-optimized Na2LiF4 structure.

Geometry as extended XYZ:
```
14
Lattice="-5.891 0.058 0.925 0.449 -3.241 3.063 3.376 4.476 4.240" Properties=species:S:1:pos:R:3 pbc="T T T"
Li -0.333 -1.586 3.289
Li -1.734 2.879 4.939
Na 1.654 3.354 4.946
Na 0.545 1.244 2.875
Na -3.720 -2.061 3.283
Na -2.612 0.049 5.353
F -3.255 2.077 4.314
F -1.911 -0.534 3.006
F -5.365 -0.341 2.065
F -0.378 3.436 3.701
F -0.155 1.827 5.223
F 3.298 1.634 6.163
F 1.188 -0.784 3.915
F -1.689 -2.143 4.527
```

Raw total energy   -4.05 eV per atom
Raw formation energy   -2.328 eV per atom
Symmetry   P2_1/m, No. 11


Density functional theory data (PBE-GGA) for a geometry-optimized Er6Cu2Pb structure.

Geometry as extended XYZ:
```
18
Lattice="-2.203 0.534 8.183 -6.645 -0.610 -5.250 4.545 -7.056 -1.286" Properties=species:S:1:pos:R:3 pbc="T T T"
Er -0.016 -3.126 -0.130
Er -0.146 -1.903 5.180
Er 1.564 -5.863 -1.727
Er -3.172 0.063 5.245
Er -5.867 -1.269 3.374
Er -3.405 -2.484 -1.192
Er -0.898 -4.648 2.839
Er -4.287 -4.006 1.777
Er -2.195 -5.895 -0.481
Er -1.131 -7.195 -3.598
Er -4.157 -5.230 -3.533
Er -2.108 -1.237 2.128
Cu 1.518 -4.227 4.471
Cu 0.371 -6.181 0.959
Cu 0.824 -2.294 2.426
Cu -4.674 -0.951 0.688
Pb 0.000 0.000 0.000
Pb -1.050 -3.833 -3.268
```

Raw total energy   -4.61 eV per atom
Calculated formation energy   -0.25 eV/atom
Symmetry   Immm, No. 71


Density functional theory data (PBE-GGA) for a geometry-optimized NiPW2 structure.

Geometry as extended XYZ:
```
4
Lattice="-7.885 0.205 -2.275 -8.131 -1.098 0.258 -8.018 1.755 0.124" Properties=species:S:1:pos:R:3 pbc="T T T"
P 0.000 0.000 0.000
Ni -12.017 0.431 -0.946
W -6.109 0.219 -0.481
W -17.926 0.643 -1.412
```

Raw total energy   -9.03 eV per atom
Calculated formation energy   0.25 eV/atom
Symmetry   R-3m, No. 166


Density functional theory data (PBE-GGA) for a geometry-optimized Au2SeBr structure.

Geometry as extended XYZ:
```
4
Lattice="3.778 0.000 0.000 0.000 7.730 0.000 0.000 0.000 3.732" Properties=species:S:1:pos:R:3 pbc="T T T"
Au 0.000 0.000 0.000
Au 1.889 3.865 0.000
Br 1.889 0.000 1.866
Se 0.000 3.865 1.866
```

Raw total energy   -2.69 eV per atom
Raw formation energy   0.238 eV per atom
Symmetry   Pmmm, No. 47


Density functional theory data (PBE-GGA) for a geometry-optimized MnCo structure.

Geometry as extended XYZ:
```
2
Lattice="-2.219 1.969 -1.473 -2.723 -1.303 -1.363 -2.957 0.503 1.404" Properties=species:S:1:pos:R:3 pbc="T T T"
Co 0.000 0.000 0.000
Mn -3.950 0.585 -0.716
```

Raw total energy   -7.34 eV per atom
Calculated formation energy   0.80 eV/atom
Symmetry   Fm-3m, No. 225